The following is a PBE-GGA calculation of CrNi2Ru after structural relaxation, from the Alexandria database.

Cell: 8.4141 8.4141 8.4141 Å, 17.74 17.74 17.74°
Atoms (fractional coordinates):
Cr 0.0000 0.0000 0.0000
Ni 0.4958 0.4958 0.4958
Ni 0.7478 0.7478 0.7478
Ru 0.2509 0.2509 0.2509

## Properties
* E_tot: -30.02 eV/cell
* space-group type: R3m
* DOS(E_F): 5.9 states/eV/f.u.
* ΔE_f: 0.111 eV per atom

***

The following is a PBE-GGA calculation of Ac2PtS after structural relaxation, from the Alexandria database.

Cell: 4.3185 6.2022 9.0710 Å, 90.00 90.00 90.00°
Atoms (fractional coordinates):
Ac 0.2500 0.2500 0.1165
Ac 0.2500 0.2500 0.6359
Ac 0.7500 0.7500 0.3641
Ac 0.7500 0.7500 0.8835
Pt 0.2500 0.7500 0.1259
Pt 0.7500 0.2500 0.8741
S 0.2500 0.7500 0.6097
S 0.7500 0.2500 0.3903

## Properties
* E_tot: -49.15 eV/cell
* space-group type: Pmmn
* formation energy from raw total energies: -1.55 eV per atom
* DOS(E_F): 2.7 states/eV/f.u.

***

The following is a PBE-GGA calculation of SiSb2Rh after structural relaxation, from the Alexandria database.

Cell: 5.1854 5.1854 5.1854 Å, 129.68 129.68 73.92°
Atoms (fractional coordinates):
Si 0.0000 0.0000 0.0000
Sb 0.5000 0.5000 0.0000
Sb 0.7500 0.2500 0.5000
Rh 0.2500 0.7500 0.5000

## Properties
* E_tot: -19.71 eV/cell
* space-group type: I-4m2
* formation energy from raw total energies: 0.33 eV per atom
* DOS(E_F): 1.9 states/eV/f.u.

***

The following is a PBE-GGA calculation of KV after structural relaxation, from the Alexandria database.

Cell: 5.8317 5.8317 5.8317 Å, 60.00 60.00 60.00°
Atoms (fractional coordinates):
K 0.0000 0.0000 0.0000
V 0.7500 0.7500 0.7500

## Properties
* E_tot: -5.77 eV/cell
* space-group type: F-43m
* DOS(E_F): 7.1 states/eV/f.u.
* ΔE_f: 2.221 eV per atom

***

The following is a PBE-GGA calculation of HoZnRh after structural relaxation, from the Alexandria database.

Cell: 4.4939 4.4939 4.4939 Å, 60.00 60.00 60.00°
Atoms (fractional coordinates):
Ho 0.0000 0.0000 0.0000
Zn 0.5000 0.5000 0.5000
Rh 0.2500 0.2500 0.2500

## Properties
* E_tot: -14.80 eV/cell
* space-group type: F-43m
* DOS(E_F): 0.9 states/eV/f.u.
* ΔE_f: -0.531 eV per atom

***

The following is a PBE-GGA calculation of Nd2GaSi3Ir4 after structural relaxation, from the Alexandria database.

Cell: 4.2017 4.2017 10.0360 Å, 90.00 90.00 90.00°
Atoms (fractional coordinates):
Nd 0.0000 0.5000 0.2472
Nd 0.5000 0.0000 0.7528
Ga 0.5000 0.5000 0.0000
Si 0.0000 0.0000 0.0000
Si 0.0000 0.5000 0.6275
Si 0.5000 0.0000 0.3725
Ir 0.0000 0.0000 0.5000
Ir 0.0000 0.5000 0.8660
Ir 0.5000 0.0000 0.1340
Ir 0.5000 0.5000 0.5000

## Properties
* E_tot: -73.94 eV/cell
* space-group type: P-4m2
* formation energy from raw total energies: -0.97 eV per atom
* DOS(E_F): 6.5 states/eV/f.u.

***

The following is a PBE-GGA calculation of NaIn2N after structural relaxation, from the Alexandria database.

Cell: 6.0501 6.0501 6.0501 Å, 101.21 101.21 127.69°
Atoms (fractional coordinates):
Na 0.0000 0.0000 0.0000
Na 0.7500 0.2500 0.5000
In 0.2198 0.6250 0.0948
In 0.3750 0.4698 0.5948
In 0.5302 0.1250 0.9052
In 0.8750 0.7802 0.4052
N 0.2500 0.7500 0.5000
N 0.5000 0.5000 0.0000

## Properties
* E_tot: -28.58 eV/cell
* space-group type: I-42d
* formation energy from raw total energies: 0.21 eV per atom
* DOS(E_F): 0.0 states/eV/f.u.

***

The following is a PBE-GGA calculation of Tb4Tl3Rh after structural relaxation, from the Alexandria database.

Cell: 3.8510 4.8405 11.5560 Å, 90.00 90.00 90.00°
Atoms (fractional coordinates):
Tb 0.0000 0.0000 0.0000
Tb 0.0000 0.5000 0.2492
Tb 0.5000 0.0000 0.4333
Tb 0.5000 0.5000 0.7623
Tl 0.0000 0.0000 0.7010
Tl 0.0000 0.5000 0.5229
Tl 0.5000 0.5000 0.0290
Rh 0.5000 0.0000 0.1953

## Properties
* E_tot: -36.40 eV/cell
* space-group type: Pmm2
* DOS(E_F): 7.4 states/eV/f.u.
* ΔE_f: -0.429 eV per atom

***

The following is a PBE-GGA calculation of Rb2BRhF6 after structural relaxation, from the Alexandria database.

Cell: 6.1732 6.1732 6.1732 Å, 124.97 124.97 81.59°
Atoms (fractional coordinates):
Rb 0.2500 0.7500 0.5000
Rb 0.7500 0.2500 0.5000
B 0.0000 0.0000 0.0000
Rh 0.5000 0.5000 0.0000
F 0.1456 0.1456 0.0000
F 0.2384 0.2384 0.4768
F 0.2384 0.7616 0.0000
F 0.7616 0.2384 0.0000
F 0.7616 0.7616 0.5232
F 0.8544 0.8544 0.0000

## Properties
* E_tot: -47.07 eV/cell
* space-group type: I4/mmm
* formation energy from raw total energies: -1.99 eV per atom
* DOS(E_F): 0.0 states/eV/f.u.

***

The following is a PBE-GGA calculation of Tb6In2Ni after structural relaxation, from the Alexandria database.

Cell: 6.0244 8.6663 11.4634 Å, 90.00 120.20 90.00°
Atoms (fractional coordinates):
Tb 0.0475 0.1851 0.4429
Tb 0.0475 0.3149 0.9429
Tb 0.3371 0.6711 0.4443
Tb 0.3371 0.8289 0.9443
Tb 0.3528 0.0272 0.2593
Tb 0.3528 0.4728 0.7593
Tb 0.6472 0.5272 0.2407
Tb 0.6472 0.9728 0.7407
Tb 0.6629 0.1711 0.0557
Tb 0.6629 0.3289 0.5557
Tb 0.9525 0.6851 0.0571
Tb 0.9525 0.8149 0.5571
In 0.1725 0.1230 0.7484
In 0.1725 0.3770 0.2484
In 0.8275 0.6230 0.7516
In 0.8275 0.8770 0.2516
Ni 0.0000 0.0000 0.0000
Ni 0.0000 0.5000 0.5000

## Properties
* E_tot: -82.13 eV/cell
* space-group type: P2_1/c
* DOS(E_F): 11.2 states/eV/f.u.
* ΔE_f: -0.225 eV per atom

***

The following is a PBE-GGA calculation of Ba2Li2DyTl5 after structural relaxation, from the Alexandria database.

Cell: 12.0420 12.0420 4.0147 Å, 90.00 90.00 90.00°
Atoms (fractional coordinates):
Ba 0.1787 0.3213 0.0000
Ba 0.3213 0.8213 0.0000
Ba 0.6787 0.1787 0.0000
Ba 0.8213 0.6787 0.0000
Li 0.1208 0.6208 0.0000
Li 0.3792 0.1208 0.0000
Li 0.6208 0.8792 0.0000
Li 0.8792 0.3792 0.0000
Dy 0.0000 0.0000 0.0000
Dy 0.5000 0.5000 0.0000
Tl 0.0000 0.5000 0.5000
Tl 0.0600 0.7938 0.5000
Tl 0.2062 0.0600 0.5000
Tl 0.2938 0.5600 0.5000
Tl 0.4400 0.2938 0.5000
Tl 0.5000 0.0000 0.5000
Tl 0.5600 0.7062 0.5000
Tl 0.7062 0.4400 0.5000
Tl 0.7938 0.9400 0.5000
Tl 0.9400 0.2062 0.5000

## Properties
* E_tot: -54.65 eV/cell
* space-group type: P4/mbm
* DOS(E_F): 4.4 states/eV/f.u.
* ΔE_f: -0.322 eV per atom

***

The following is a PBE-GGA calculation of Rb2NdIrO6 after structural relaxation, from the Alexandria database.

Cell: 6.0632 6.0632 6.0632 Å, 60.00 60.00 60.00°
Atoms (fractional coordinates):
Rb 0.2500 0.2500 0.2500
Rb 0.7500 0.7500 0.7500
Nd 0.0000 0.0000 0.0000
Ir 0.5000 0.5000 0.5000
O 0.2754 0.2754 0.7246
O 0.2754 0.7246 0.2754
O 0.2754 0.7246 0.7246
O 0.7246 0.2754 0.2754
O 0.7246 0.2754 0.7246
O 0.7246 0.7246 0.2754

## Properties
* E_tot: -61.59 eV/cell
* space-group type: Fm-3m
* formation energy from raw total energies: -1.63 eV per atom
* DOS(E_F): 6.0 states/eV/f.u.

***

| no. | total magnetic moment (μB/f.u.) | theoretical density (g cm⁻³) |
| --- | --- | --- |
| 1 | 0.442 | 9.3 |
| 2 | 0.000 | 9.3 |
| 3 | 0.000 | 7.7 |
| 4 | 4.103 | 1.1 |
| 5 | 0.000 | 8.6 |
| 6 | 0.000 | 11.4 |
| 7 | 0.000 | 5.6 |
| 8 | 0.000 | 10.4 |
| 9 | 0.000 | 4.4 |
| 10 | 0.000 | 8.0 |
| 11 | 0.000 | 8.4 |
| 12 | 0.000 | 6.4 |